Entry 1:
8
Lattice="-3.942 3.942 2.890 3.942 -3.942 2.890 3.942 3.942 -2.890" Properties=species:S:1:pos:R:3 comment="SrSnOs2 | the Alexandria database | PBE | relaxed" dft_energy_ev_per_atom=-5.895 pbc="T T T"
Sr 0.000 0.000 0.000
Sr 0.000 3.942 1.445
Sn 3.942 0.000 1.445
Sn 0.000 0.000 2.890
Os 1.971 -1.577 2.167
Os 2.365 1.971 0.722
Os 1.971 5.519 -0.722
Os 1.577 1.971 3.612

---

Entry 2:
13
Lattice="7.647 -4.190 0.000 7.647 4.190 0.000 -1.924 0.000 6.821" Properties=species:S:1:pos:R:3 comment="Sc2Pa3Te8 | the Alexandria database | PBE | relaxed" e_form_raw_kj_per_mol_atoms=-80.65 pbc="T T T"
Sc 3.105 0.000 2.200
Sc 10.264 0.000 4.621
Pa -0.962 0.000 3.411
Pa 7.647 2.223 0.000
Pa 7.647 -2.223 0.000
Te 4.540 2.034 3.987
Te 0.390 0.000 6.205
Te 8.830 2.034 2.834
Te 5.746 0.000 0.848
Te 7.623 0.000 5.973
Te 4.540 -2.034 3.987
Te 12.980 0.000 0.616
Te 8.830 -2.034 2.834

---

Entry 3:
8
Lattice="3.376 0.000 0.000 0.000 3.376 0.000 0.000 0.000 13.452" Properties=species:S:1:pos:R:3 comment="MgCd3Ag4 | the Alexandria database | PBE | relaxed" de_polymorph_ev_per_fu=0.00 pbc="T T T"
Mg 0.000 0.000 0.000
Cd 0.000 0.000 3.306
Cd 0.000 0.000 6.726
Cd 0.000 0.000 10.145
Ag 1.688 1.688 1.580
Ag 1.688 1.688 5.022
Ag 1.688 1.688 8.430
Ag 1.688 1.688 11.872